DFT (PBE) results for an optimized crystal structure of La3HoSn2S.

a b c (Å): 5.1236 5.3119 9.2012
angles (deg): 106.78 106.17 90.00
With the nearest neighbours (Å) after each atom.
Fractional coordinates of all 7 atoms:
Sn1 0.6328 0.6328 0.2657  3 La 3.30-3.40, 2 Ho 3.47
Sn2 0.3672 0.3672 0.7343  3 La 3.30-3.40, 2 Ho 3.47
S1 0.0000 0.0000 0.0000  2 Ho 2.56, 2 La 2.66
La1 0.8288 0.8288 0.6575  1 S 2.89
La2 0.0000 0.5000 0.0000  2 S 2.66
La3 0.1712 0.1712 0.3425  1 S 2.89
Ho1 0.5000 0.0000 0.0000  2 S 2.56

Computed properties:
E_form (uncorrected)	-0.97	eV/atom
calculated density	6.16	g/cm³